This record from the Alexandria database describes BaGaPb2 after structural relaxation. The functional is PBE-GGA.

POSCAR file:
```
BaGaPb2
1.0
4.3541 0.0000 0.0000
-0.0855 6.5863 0.0000
-2.1224 -1.8780 9.5994
Ba Ga Pb
2 2 4
direct
0.1303 0.0724 0.2665
0.8697 0.9276 0.7335
0.3697 0.4441 0.7440
0.6303 0.5559 0.2560
0.2288 0.6591 0.4567
0.4822 0.7471 0.0012
0.5178 0.2529 0.9988
0.7712 0.3409 0.5433
```

## Properties
ΔE_f (eV per atom): -0.25
Theoretical density (Mg/m³): 7.50
Energy (eV/cell): -26.8



This record from the Alexandria database describes BaGa3Pb3 after structural relaxation. The functional is PBE-GGA.

POSCAR file:
```
BaGa3Pb3
1.0
7.8540 0.0000 0.0000
0.0000 7.8540 0.0000
0.0000 0.0000 7.8540
Ba Ga Pb
2 6 6
direct
0.0000 0.0000 0.0000
0.5000 0.5000 0.5000
0.0000 0.2500 0.5000
0.0000 0.7500 0.5000
0.2500 0.5000 0.0000
0.5000 0.0000 0.2500
0.5000 0.0000 0.7500
0.7500 0.5000 0.0000
0.0000 0.5000 0.2500
0.0000 0.5000 0.7500
0.2500 0.0000 0.5000
0.5000 0.2500 0.0000
0.5000 0.7500 0.0000
0.7500 0.0000 0.5000
```

## Properties
ΔE_f (eV per atom): 0.00
Theoretical density (Mg/m³): 6.64
Energy (eV/cell): -44.3



This record from the Alexandria database describes Ba2Ga3Pd4Pb after structural relaxation. The functional is PBE-GGA.

POSCAR file:
```
Ba2Ga3Pd4Pb
1.0
4.6559 0.0000 0.0000
0.0000 4.6559 0.0000
0.0000 0.0000 10.6423
Ba Ga Pd Pb
2 3 4 1
direct
0.0000 0.5000 0.2375
0.5000 0.0000 0.7625
0.0000 0.5000 0.8899
0.5000 0.0000 0.1101
0.5000 0.5000 0.5000
0.0000 0.0000 0.0000
0.0000 0.5000 0.6446
0.5000 0.0000 0.3554
0.5000 0.5000 0.0000
0.0000 0.0000 0.5000
```

## Properties
ΔE_f (eV per atom): -0.62
Theoretical density (Mg/m³): 8.04
Energy (eV/cell): -43.6